Record 1
DFT (PBE) results for crystalline AlFeW2 at its relaxed geometry.

abc: 5.0392 5.0392 2.6951
angles: 81.97 81.97 116.62
Closest atoms and distances in Å follow each position.
Sites, in units of the cell vectors:
Fe (0.0000, 0.5000, 0.5000)  2 Al 2.65, 4 W 2.69, 2 Fe 2.70
W (0.0000, 0.0000, 0.0000)  4 W 2.65-2.70, 2 Al 2.69, 2 Fe 2.69
W (0.5000, 0.5000, 0.0000)  4 W 2.65-2.70, 2 Fe 2.69, 2 Al 2.69
Al (0.5000, 0.0000, 0.5000)  2 Fe 2.65, 4 W 2.69, 2 Al 2.70

Total DFT energy (no corrections): -37.8 eV per cell
Formation energy: 1.8 kcal/mol of atoms



Record 2
DFT (PBE) results for crystalline V2Sb2W at its relaxed geometry.

abc: 6.9618 6.9618 3.6742
angles: 90.00 90.00 90.00
Closest atoms and distances in Å follow each position.
Sites, in units of the cell vectors:
Sb (0.1735, 0.6735, 0.5000)  6 V 2.68-2.81
Sb (0.6735, 0.8265, 0.5000)  6 V 2.68-2.81
Sb (0.8265, 0.3265, 0.5000)  6 V 2.68-2.81
Sb (0.3265, 0.1735, 0.5000)  6 V 2.68-2.81
W (0.0000, 0.0000, 0.0000)  4 V 2.74
W (0.5000, 0.5000, 0.0000)  4 V 2.74
V (0.3712, 0.8712, 0.0000)  1 V 2.54, 6 Sb 2.68-2.81, 2 W 2.74
V (0.8712, 0.6288, 0.0000)  1 V 2.54, 6 Sb 2.68-2.81, 2 W 2.74
V (0.6288, 0.1288, 0.0000)  1 V 2.54, 6 Sb 2.68-2.81, 2 W 2.74
V (0.1288, 0.3712, 0.0000)  1 V 2.54, 6 Sb 2.68-2.81, 2 W 2.74

Total DFT energy (no corrections): -74.2 eV per cell
Uncorrected formation energy: 224 kJ/mol of formula units



Record 3
DFT (PBE) results for crystalline Pr3ZnRu2 at its relaxed geometry.

abc: 7.1335 7.1335 7.1335
angles: 69.19 69.19 69.19
Closest atoms and distances in Å follow each position.
Sites, in units of the cell vectors:
Pr (0.9416, 0.5584, 0.2500)  4 Ru 2.91-3.05, 2 Zn 3.11
Pr (0.2500, 0.9416, 0.5584)  4 Ru 2.91-3.05, 2 Zn 3.11
Pr (0.5584, 0.2500, 0.9416)  4 Ru 2.91-3.05, 2 Zn 3.11
Pr (0.0584, 0.4416, 0.7500)  4 Ru 2.91-3.05, 2 Zn 3.11
Pr (0.7500, 0.0584, 0.4416)  4 Ru 2.91-3.05, 2 Zn 3.11
Pr (0.4416, 0.7500, 0.0584)  4 Ru 2.91-3.05, 2 Zn 3.11
Zn (0.5000, 0.5000, 0.5000)  2 Ru 2.55
Zn (0.0000, 0.0000, 0.0000)  2 Ru 2.55
Ru (0.6579, 0.6579, 0.6579)  1 Zn 2.55
Ru (0.8421, 0.8421, 0.8421)  1 Zn 2.55
Ru (0.1579, 0.1579, 0.1579)  1 Zn 2.55
Ru (0.3421, 0.3421, 0.3421)  1 Zn 2.55

Total DFT energy (no corrections): -70.3 eV per cell
Formation energy: -3.7 kcal/mol of atoms



Record 4
DFT (PBE) results for crystalline KAu5 at its relaxed geometry.

abc: 9.5147 9.5147 4.7135
angles: 90.00 90.00 161.71
Closest atoms and distances in Å follow each position.
Sites, in units of the cell vectors:
K (0.1015, 0.8985, 0.5000)  2 K 3.02
Au (0.9652, 0.0348, 0.0000)  8 Au 2.86-3.02
Au (0.3345, 0.6655, 0.0000)  12 Au 2.87-3.02
Au (0.7048, 0.2952, 0.0000)  6 Au 2.87-3.02
Au (0.4344, 0.5656, 0.5000)  10 Au 2.86-3.06
Au (0.7930, 0.2070, 0.5000)  10 Au 2.88-3.06

Total DFT energy (no corrections): -17.5 eV per cell
Formation energy: -0.1 kcal/mol of atoms



Record 5
DFT (PBE) results for crystalline Mg5SnB2O10 at its relaxed geometry.

abc: 6.1998 9.9542 12.8957
angles: 85.68 76.09 71.86
Closest atoms and distances in Å follow each position.
Sites, in units of the cell vectors:
Mg (0.9415, 0.7371, 0.3799)  6 O 2.03-2.21
Mg (0.0585, 0.2629, 0.6201)  6 O 2.03-2.21
Mg (0.1783, 0.7629, 0.8805)  6 O 2.04-2.21
Mg (0.8217, 0.2371, 0.1195)  6 O 2.04-2.21
Mg (0.2410, 0.0000, 0.0000)  6 O 2.04-2.21
Mg (0.7590, 0.0000, 0.0000)  6 O 2.04-2.21
Mg (0.2415, 0.5000, 0.5000)  6 O 2.04-2.21
Mg (0.7585, 0.5000, 0.5000)  6 O 2.04-2.21
Mg (0.3888, 0.9950, 0.7180)  5 O 1.98-2.18
Mg (0.6112, 0.0050, 0.2820)  5 O 1.98-2.18
Mg (0.1148, 0.4961, 0.7812)  6 O 1.98-2.19
Mg (0.8852, 0.5039, 0.2188)  6 O 1.98-2.19
Mg (0.3921, 0.5039, 0.2188)  6 O 1.98-2.19
Mg (0.6079, 0.4961, 0.7812)  6 O 1.98-2.19
Mg (0.8982, 0.9950, 0.7180)  5 O 1.98-2.18
Mg (0.1018, 0.0050, 0.2820)  5 O 1.98-2.18
Mg (0.7568, 0.4883, 0.9980)  6 O 2.11-2.21
Mg (0.2432, 0.5117, 0.0020)  6 O 2.11-2.21
Mg (0.7546, 0.9904, 0.5004)  6 O 2.11-2.20
Mg (0.2454, 0.0096, 0.4996)  6 O 2.11-2.20
Sn (0.6784, 0.7593, 0.8839)  6 O 2.03-2.18
Sn (0.3216, 0.2407, 0.1161)  6 O 2.03-2.18
Sn (0.4371, 0.7398, 0.3861)  6 O 2.03-2.17
Sn (0.5629, 0.2602, 0.6139)  6 O 2.03-2.17
B (0.4552, 0.2287, 0.8609)  3 O 1.38-1.41
B (0.5448, 0.7713, 0.1391)  3 O 1.38-1.41
B (0.8195, 0.7232, 0.6378)  3 O 1.38-1.42
B (0.1805, 0.2768, 0.3622)  3 O 1.38-1.42
B (0.9608, 0.2200, 0.8585)  3 O 1.39-1.40
B (0.0392, 0.7800, 0.1415)  3 O 1.39-1.40
B (0.3161, 0.7256, 0.6421)  3 O 1.38-1.42
B (0.6839, 0.2744, 0.3579)  3 O 1.38-1.42
O (0.3834, 0.3743, 0.8588)  1 B 1.38
O (0.6166, 0.6257, 0.1412)  1 B 1.38
O (0.4473, 0.1498, 0.9557)  1 B 1.40
O (0.5527, 0.8502, 0.0443)  1 B 1.40
O (0.4580, 0.8495, 0.2345)  1 B 1.41
O (0.5420, 0.1505, 0.7655)  1 B 1.41
O (0.9040, 0.6491, 0.5430)  1 B 1.38
O (0.0960, 0.3509, 0.4570)  1 B 1.38
O (0.7434, 0.8694, 0.6438)  1 B 1.39
O (0.2566, 0.1306, 0.3562)  1 B 1.39
O (0.8100, 0.6452, 0.7348)  1 B 1.42
O (0.1900, 0.3548, 0.2652)  1 B 1.42
O (0.9534, 0.8569, 0.2363)  1 B 1.39
O (0.0466, 0.1431, 0.7637)  1 B 1.39
O (0.8888, 0.3674, 0.8550)  1 B 1.40
O (0.1112, 0.6326, 0.1450)  1 B 1.40
O (0.9479, 0.1482, 0.9560)  1 B 1.40
O (0.0521, 0.8518, 0.0440)  1 B 1.40
O (0.3070, 0.6494, 0.7365)  1 B 1.38
O (0.6930, 0.3506, 0.2635)  1 B 1.38
O (0.2428, 0.8727, 0.6416)  1 B 1.39
O (0.7572, 0.1273, 0.3584)  1 B 1.39
O (0.4032, 0.6487, 0.5449)  1 B 1.42
O (0.5968, 0.3513, 0.4551)  1 B 1.42
O (0.3765, 0.8963, 0.8576)  3 Mg 1.98-2.04, 1 Sn 2.03
O (0.6235, 0.1037, 0.1424)  3 Mg 1.98-2.04, 1 Sn 2.03
O (0.8696, 0.8963, 0.8576)  3 Mg 1.98-2.04, 1 Sn 2.03
O (0.1304, 0.1037, 0.1424)  3 Mg 1.98-2.04, 1 Sn 2.03
O (0.9751, 0.6116, 0.9220)  4 Mg 2.08-2.21, 1 Sn 2.10
O (0.0249, 0.3884, 0.0780)  4 Mg 2.08-2.21, 1 Sn 2.10
O (0.4912, 0.6116, 0.9220)  4 Mg 2.08-2.21, 1 Sn 2.10
O (0.5088, 0.3884, 0.0780)  4 Mg 2.08-2.21, 1 Sn 2.10
O (0.2336, 0.3961, 0.6425)  3 Mg 1.98-2.04, 1 Sn 2.03
O (0.7664, 0.6039, 0.3575)  3 Mg 1.98-2.04, 1 Sn 2.03
O (0.2723, 0.6039, 0.3575)  3 Mg 1.98-2.04, 1 Sn 2.03
O (0.7277, 0.3961, 0.6425)  3 Mg 1.98-2.04, 1 Sn 2.03
O (0.4131, 0.1117, 0.5781)  4 Mg 2.07-2.21, 1 Sn 2.10
O (0.5869, 0.8883, 0.4219)  4 Mg 2.07-2.21, 1 Sn 2.10
O (0.1028, 0.8883, 0.4219)  4 Mg 2.07-2.21, 1 Sn 2.10
O (0.8972, 0.1117, 0.5781)  4 Mg 2.07-2.21, 1 Sn 2.10

Total DFT energy (no corrections): -481.4 eV per cell
Uncorrected formation energy: -4383 kJ/mol of formula units



Record 6
DFT (PBE) results for crystalline Al5In12Ga3 at its relaxed geometry.

abc: 14.2495 14.2495 14.2495
angles: 109.47 109.47 109.47
Closest atoms and distances in Å follow each position.
Sites, in units of the cell vectors:
Ga (0.7500, 0.3750, 0.1250)  4 In 2.82
Ga (0.8750, 0.7500, 0.1250)  4 In 2.82
Ga (0.3750, 0.7500, 0.6250)  4 In 2.82
Ga (0.2500, 0.1250, 0.3750)  4 In 2.82
Ga (0.8750, 0.1250, 0.2500)  4 In 2.82
Ga (0.3750, 0.6250, 0.2500)  4 In 2.82
Ga (0.6250, 0.3750, 0.7500)  4 In 2.82
Ga (0.1250, 0.8750, 0.7500)  4 In 2.82
Ga (0.7500, 0.8750, 0.6250)  4 In 2.82
Ga (0.6250, 0.2500, 0.3750)  4 In 2.82
Ga (0.1250, 0.2500, 0.8750)  4 In 2.82
Ga (0.2500, 0.6250, 0.8750)  4 In 2.82
Al (0.1250, 0.3750, 0.2500)  4 In 2.72
Al (0.0000, 0.5000, 0.0000)  6 In 2.82
Al (0.0000, 0.0000, 0.0000)  6 In 2.82
Al (0.3750, 0.2500, 0.1250)  4 In 2.72
Al (0.5000, 0.0000, 0.5000)  6 In 2.82
Al (0.5000, 0.5000, 0.0000)  6 In 2.82
Al (0.1250, 0.7500, 0.3750)  4 In 2.72
Al (0.7500, 0.1250, 0.8750)  4 In 2.72
Al (0.7500, 0.6250, 0.3750)  4 In 2.72
Al (0.3750, 0.1250, 0.7500)  4 In 2.72
Al (0.6250, 0.8750, 0.2500)  4 In 2.72
Al (0.5000, 0.5000, 0.5000)  6 In 2.82
Al (0.5000, 0.0000, 0.0000)  6 In 2.82
Al (0.0000, 0.0000, 0.5000)  6 In 2.82
Al (0.2500, 0.3750, 0.6250)  4 In 2.72
Al (0.2500, 0.8750, 0.1250)  4 In 2.72
Al (0.0000, 0.5000, 0.5000)  6 In 2.82
Al (0.8750, 0.2500, 0.6250)  4 In 2.72
Al (0.6250, 0.7500, 0.8750)  4 In 2.72
Al (0.8750, 0.6250, 0.7500)  4 In 2.72
In (0.7310, 0.1258, 0.0588)  2 Al 2.72-2.82, 1 Ga 2.82
In (0.3278, 0.5588, 0.4330)  2 Al 2.72-2.82, 1 Ga 2.82
In (0.9412, 0.3742, 0.2690)  2 Al 2.72-2.82, 1 Ga 2.82
In (0.5588, 0.2310, 0.1258)  2 Al 2.72-2.82, 1 Ga 2.82
In (0.6052, 0.7310, 0.6722)  2 Al 2.72-2.82, 1 Ga 2.82
In (0.9412, 0.5670, 0.1722)  2 Al 2.72-2.82, 1 Ga 2.82
In (0.3278, 0.7690, 0.3948)  2 Al 2.72-2.82, 1 Ga 2.82
In (0.0670, 0.8948, 0.1258)  2 Al 2.72-2.82, 1 Ga 2.82
In (0.5670, 0.9412, 0.6722)  2 Al 2.72-2.82, 1 Ga 2.82
In (0.7310, 0.6052, 0.1722)  2 Al 2.72-2.82, 1 Ga 2.82
In (0.7690, 0.4412, 0.3742)  2 Al 2.72-2.82, 1 Ga 2.82
In (0.8278, 0.9330, 0.0588)  2 Al 2.72-2.82, 1 Ga 2.82
In (0.1258, 0.7310, 0.5588)  2 Al 2.72-2.82, 1 Ga 2.82
In (0.3742, 0.4330, 0.1052)  2 Al 2.72-2.82, 1 Ga 2.82
In (0.1052, 0.9330, 0.3742)  2 Al 2.72-2.82, 1 Ga 2.82
In (0.3948, 0.1258, 0.5670)  2 Al 2.72-2.82, 1 Ga 2.82
In (0.1052, 0.1722, 0.2310)  2 Al 2.72-2.82, 1 Ga 2.82
In (0.4412, 0.6722, 0.0670)  2 Al 2.72-2.82, 1 Ga 2.82
In (0.8278, 0.8948, 0.2690)  2 Al 2.72-2.82, 1 Ga 2.82
In (0.1258, 0.3948, 0.0670)  2 Al 2.72-2.82, 1 Ga 2.82
In (0.3742, 0.9412, 0.7690)  2 Al 2.72-2.82, 1 Ga 2.82
In (0.5670, 0.6258, 0.3948)  2 Al 2.72-2.82, 1 Ga 2.82
In (0.9330, 0.8278, 0.5588)  2 Al 2.72-2.82, 1 Ga 2.82
In (0.7690, 0.3278, 0.8948)  2 Al 2.72-2.82, 1 Ga 2.82
In (0.4330, 0.3742, 0.6052)  2 Al 2.72-2.82, 1 Ga 2.82
In (0.0670, 0.1722, 0.4412)  2 Al 2.72-2.82, 1 Ga 2.82
In (0.2310, 0.6722, 0.1052)  2 Al 2.72-2.82, 1 Ga 2.82
In (0.1722, 0.1052, 0.7310)  2 Al 2.72-2.82, 1 Ga 2.82
In (0.6258, 0.0588, 0.2310)  2 Al 2.72-2.82, 1 Ga 2.82
In (0.8742, 0.6052, 0.9330)  2 Al 2.72-2.82, 1 Ga 2.82
In (0.5588, 0.3278, 0.9330)  2 Al 2.72-2.82, 1 Ga 2.82
In (0.6052, 0.8742, 0.4330)  2 Al 2.72-2.82, 1 Ga 2.82
In (0.8948, 0.8278, 0.7690)  2 Al 2.72-2.82, 1 Ga 2.82
In (0.8948, 0.0670, 0.6258)  2 Al 2.72-2.82, 1 Ga 2.82
In (0.8742, 0.2690, 0.4412)  2 Al 2.72-2.82, 1 Ga 2.82
In (0.1722, 0.0670, 0.9412)  2 Al 2.72-2.82, 1 Ga 2.82
In (0.6258, 0.5670, 0.8948)  2 Al 2.72-2.82, 1 Ga 2.82
In (0.4330, 0.0588, 0.3278)  2 Al 2.72-2.82, 1 Ga 2.82
In (0.2690, 0.3948, 0.8278)  2 Al 2.72-2.82, 1 Ga 2.82
In (0.2310, 0.5588, 0.6258)  2 Al 2.72-2.82, 1 Ga 2.82
In (0.9330, 0.1052, 0.8742)  2 Al 2.72-2.82, 1 Ga 2.82
In (0.6722, 0.2310, 0.6052)  2 Al 2.72-2.82, 1 Ga 2.82
In (0.4412, 0.7690, 0.8742)  2 Al 2.72-2.82, 1 Ga 2.82
In (0.0588, 0.4330, 0.8278)  2 Al 2.72-2.82, 1 Ga 2.82
In (0.3948, 0.2690, 0.3278)  2 Al 2.72-2.82, 1 Ga 2.82
In (0.0588, 0.6258, 0.7310)  2 Al 2.72-2.82, 1 Ga 2.82
In (0.6722, 0.4412, 0.5670)  2 Al 2.72-2.82, 1 Ga 2.82
In (0.2690, 0.8742, 0.9412)  2 Al 2.72-2.82, 1 Ga 2.82

Total DFT energy (no corrections): -224.4 eV per cell
Formation energy: 5.3 kcal/mol of atoms



Record 7
DFT (PBE) results for crystalline NaCa3Pt at its relaxed geometry.

abc: 7.7861 7.7457 8.2467
angles: 89.96 60.82 60.18
Closest atoms and distances in Å follow each position.
Sites, in units of the cell vectors:
Na (0.8751, 0.5163, 0.4904)  1 Na 3.42
Na (0.5502, 0.6803, 0.9910)  1 Na 3.42
Ca (0.3858, 0.0118, 0.4790)  2 Pt 2.86-2.87
Ca (0.0414, 0.6841, 0.9996)  2 Pt 2.86-2.87
Ca (0.5324, 0.1889, 0.0013)  2 Pt 2.86-2.87
Ca (0.0409, 0.1846, 0.9996)  2 Pt 2.86-2.87
Ca (0.3855, 0.5124, 0.4789)  2 Pt 2.86-2.87
Ca (0.8941, 0.0074, 0.4773)  2 Pt 2.86-2.87
Pt (0.0430, 0.9334, 0.7420)  6 Ca 2.86-2.87
Pt (0.3836, 0.2631, 0.7365)  6 Ca 2.86-2.87

Total DFT energy (no corrections): -30.5 eV per cell
Formation energy: -8.7 kcal/mol of atoms



Record 8
DFT (PBE) results for crystalline LiCeSm2 at its relaxed geometry.

abc: 3.4637 3.4637 12.2775
angles: 81.89 81.89 60.00
Closest atoms and distances in Å follow each position.
Sites, in units of the cell vectors:
Ce (0.5000, 0.5000, 0.5000)  6 Sm 3.45, 6 Ce 3.46
Sm (0.0893, 0.0893, 0.7320)  1 Li 3.25, 3 Ce 3.45, 6 Sm 3.46
Sm (0.9107, 0.9107, 0.2680)  1 Li 3.25, 3 Ce 3.45, 6 Sm 3.46
Li (0.0000, 0.0000, 0.0000)  2 Sm 3.25, 6 Li 3.46

Total DFT energy (no corrections): -16.5 eV per cell
Formation energy: 4.4 kcal/mol of atoms



Record 9
DFT (PBE) results for crystalline Si2AsP at its relaxed geometry.

abc: 3.6199 3.6199 6.2389
angles: 72.22 72.22 60.07
Closest atoms and distances in Å follow each position.
Sites, in units of the cell vectors:
As (0.7500, 0.7500, 0.7500)  6 Si 2.59-2.62
P (0.2500, 0.2500, 0.2500)  6 Si 2.49-2.52
Si (0.9954, 0.9954, 0.0140)  3 P 2.49-2.52, 3 As 2.59-2.62
Si (0.5046, 0.5046, 0.4860)  3 P 2.49-2.52, 3 As 2.59-2.62

Total DFT energy (no corrections): -20.4 eV per cell
Uncorrected formation energy: 49 kJ/mol of formula units